The following is a DFT calculation (PBE-GGA) of an optimized crystal structure of TiGa.

The structure in POSCAR format:
```
TiGa
1.0
-4.4574 0.4929 -0.4993
1.6520 -3.6954 1.9939
-0.2503 2.3397 4.5437
Ga Ti
2 2
Cartesian
-0.5722 -0.5446 4.5706 Ga
-2.4835 -0.3183 1.4677 Ga
-0.4471 -1.7144 2.2987 Ti
-2.6087 0.8515 3.7395 Ti
```

Values from the calculation:
- SG: P6_3/mmc
- Energy of formation: 421 meV/atom
- Final energy: -5.040 eV/atom